Here is crystalline Na3PuSc3S8 at its relaxed geometry from Alexandria. Energies are from PBE-GGA.

abc: 7.601 7.601 7.998
angles: 118.38 90.00 120.00
Sites, in units of the cell vectors:
Sc (0.500, 0.500, 0.500)
S (0.243, 0.485, 0.715)
Na (0.500, 0.500, 0.000)
S (0.757, 0.515, 0.285)
S (0.270, 0.027, 0.285)
S (0.739, 0.477, 0.716)
S (0.730, 0.973, 0.715)
Sc (0.500, 0.000, 0.500)
Na (0.000, 0.500, 0.000)
S (0.757, 0.027, 0.285)
S (0.261, 0.523, 0.284)
Sc (0.000, 0.500, 0.500)
Na (0.000, 0.000, 0.000)
Pu (0.000, 0.000, 0.500)
S (0.243, 0.973, 0.715)

SG   R-3m, No. 166
Formation energy without anion corrections   -1.65 eV/atom


Here is crystalline TbYSnPb at its relaxed geometry from Alexandria. Energies are from PBE-GGA.

abc: 5.419 5.419 5.419
angles: 60.00 60.00 60.00
Sites, in units of the cell vectors:
Pb (0.500, 0.500, 0.500)
Y (0.750, 0.750, 0.750)
Tb (0.250, 0.250, 0.250)
Sn (0.000, 0.000, 0.000)

SG   F-43m, No. 216
Energy of formation   -46.4 kJ/mol of atoms


Here is crystalline CaLuIr4 at its relaxed geometry from Alexandria. Energies are from PBE-GGA.

abc: 5.337 5.337 5.337
angles: 60.00 60.00 60.00
Sites, in units of the cell vectors:
Ir (0.125, 0.625, 0.625)
Ir (0.625, 0.625, 0.125)
Ir (0.625, 0.125, 0.625)
Lu (0.250, 0.250, 0.250)
Ir (0.625, 0.625, 0.625)
Ca (0.000, 0.000, 0.000)

SG   F-43m, No. 216
Energy of formation   -62.2 kJ/mol of atoms


Here is crystalline Rb2BaPb2 at its relaxed geometry from Alexandria. Energies are from PBE-GGA.

abc: 5.312 5.312 9.184
angles: 73.19 73.19 90.00
Sites, in units of the cell vectors:
Pb (0.413, 0.413, 0.174)
Ba (0.000, 0.000, 0.000)
Rb (0.250, 0.750, 0.500)
Rb (0.750, 0.250, 0.500)
Pb (0.587, 0.587, 0.826)

SG   I4/mmm, No. 139
Energy of formation   -16.4 kJ/mol of atoms
ΔE to the lowest computed polymorph   0.000 eV/atom


Here is crystalline CeTm2Zn4 at its relaxed geometry from Alexandria. Energies are from PBE-GGA.

abc: 4.889 4.889 8.612
angles: 73.51 73.51 60.00
Sites, in units of the cell vectors:
Tm (0.244, 0.244, 0.267)
Tm (0.756, 0.756, 0.733)
Zn (0.385, 0.385, 0.845)
Ce (0.000, 0.000, 0.000)
Zn (0.124, 0.124, 0.627)
Zn (0.615, 0.615, 0.155)
Zn (0.876, 0.876, 0.373)

SG   R-3m, No. 166
Energy of formation   -5.3 kJ/mol of atoms


Here is crystalline CsIn2Hg2Pb at its relaxed geometry from Alexandria. Energies are from PBE-GGA.

abc: 5.090 5.090 9.555
angles: 90.00 90.00 120.00
Sites, in units of the cell vectors:
In (0.667, 0.333, 0.356)
Hg (0.333, 0.667, 0.255)
Pb (0.000, 0.000, 0.500)
In (0.333, 0.667, 0.644)
Cs (0.000, 0.000, 0.000)
Hg (0.667, 0.333, 0.745)

SG   P-3m1, No. 164
Energy of formation   -13.1 kJ/mol of atoms


Here is crystalline Ba6Tl2PtO at its relaxed geometry from Alexandria. Energies are from PBE-GGA.

abc: 8.284 8.284 11.693
angles: 90.00 90.00 90.00
Sites, in units of the cell vectors:
Ba (0.738, 0.487, 0.500)
Ba (0.237, 0.988, 0.000)
O (0.500, 0.249, 0.500)
O (0.000, 0.751, 0.000)
Tl (0.000, 0.250, 0.250)
Pt (0.500, 0.251, 0.000)
Tl (0.500, 0.750, 0.250)
Ba (0.262, 0.487, 0.500)
Ba (0.000, 0.750, 0.763)
Tl (0.500, 0.750, 0.750)
Ba (0.263, 0.012, 0.500)
Ba (0.500, 0.250, 0.737)
Ba (0.763, 0.988, 0.000)
Ba (0.737, 0.012, 0.500)
Ba (0.000, 0.750, 0.237)
Ba (0.500, 0.250, 0.263)
Tl (0.000, 0.250, 0.750)
Ba (0.238, 0.513, 0.000)
Ba (0.762, 0.513, 0.000)
Pt (0.000, 0.749, 0.500)

SG   Pmmn, No. 59
Formation energy without anion corrections   -0.77 eV/atom


Here is crystalline YRhW2 at its relaxed geometry from Alexandria. Energies are from PBE-GGA.

abc: 4.991 2.876 5.074
angles: 79.93 90.00 90.00
Sites, in units of the cell vectors:
W (0.000, 0.530, 0.500)
W (0.000, 0.970, 0.000)
Rh (0.500, 0.750, 0.750)
Y (0.500, 0.250, 0.250)

SG   P2/m, No. 10
Energy of formation   28.2 kJ/mol of atoms
ΔE to the lowest computed polymorph   0.243 eV/atom


Here is crystalline Ru2CS at its relaxed geometry from Alexandria. Energies are from PBE-GGA.

abc: 4.898 4.898 5.948
angles: 65.68 65.68 90.00
Sites, in units of the cell vectors:
C (0.250, 0.750, 0.500)
S (0.000, 0.000, 0.000)
Ru (0.375, 0.426, 0.750)
Ru (0.875, 0.824, 0.750)
Ru (0.574, 0.125, 0.250)
C (0.500, 0.500, 0.000)
Ru (0.176, 0.625, 0.250)
S (0.750, 0.250, 0.500)

SG   I-42d, No. 122
Formation energy without anion corrections   0.14 eV/atom
ΔE to the lowest computed polymorph   0.000 eV/atom


Here is crystalline YZrSb3 at its relaxed geometry from Alexandria. Energies are from PBE-GGA.

abc: 5.498 5.498 5.498
angles: 90.00 90.00 90.00
Sites, in units of the cell vectors:
Y (0.500, 0.500, 0.500)
Sb (0.000, 0.500, 0.000)
Zr (0.000, 0.000, 0.000)
Sb (0.000, 0.000, 0.500)
Sb (0.500, 0.000, 0.000)

SG   Pm-3m, No. 221
Formation energy without anion corrections   0.02 eV/atom
ΔE to the lowest computed polymorph   0.000 eV/atom


Here is crystalline MnCu2W at its relaxed geometry from Alexandria. Energies are from PBE-GGA.

abc: 4.795 4.795 4.795
angles: 136.91 136.96 62.53
Sites, in units of the cell vectors:
Cu (0.500, 0.500, 0.000)
W (0.250, 0.750, 0.500)
Cu (0.000, 0.000, 0.000)
Mn (0.750, 0.250, 0.500)

SG   I4/mmm, No. 139
Energy of formation   26.0 kJ/mol of atoms
ΔE to the lowest computed polymorph   0.052 eV/atom


Here is crystalline Sr5Ge2As at its relaxed geometry from Alexandria. Energies are from PBE-GGA.

abc: 8.217 8.217 9.641
angles: 115.22 115.22 90.00
Sites, in units of the cell vectors:
Sr (0.471, 0.317, 0.287)
Sr (0.971, 0.471, 0.287)
Sr (0.529, 0.683, 0.713)
As (0.750, 0.750, 0.500)
Sr (0.500, 0.500, 0.000)
Ge (0.116, 0.384, 0.000)
Sr (0.317, 0.817, 0.287)
Sr (0.000, 0.000, 0.000)
Ge (0.884, 0.616, 0.000)
Ge (0.384, 0.884, 0.000)
Sr (0.683, 0.183, 0.713)
Ge (0.616, 0.116, 0.000)
Sr (0.183, 0.029, 0.713)
As (0.250, 0.250, 0.500)
Sr (0.817, 0.971, 0.287)
Sr (0.029, 0.529, 0.713)

SG   I4/mcm, No. 140
Energy of formation   -68.3 kJ/mol of atoms


Record order is preserved below.
Calculated density: 3.5; 8.5; 15.2; 5.1; 7.3; 7.5; 6.0; 13.0; 7.0; 5.4; 12.0; 4.2 g/cm3
Record order is preserved below.
VASP energy: -6.34; -5.18; -7.64; -2.42; -2.91; -1.91; -3.50; -9.64; -7.83; -5.46; -7.31; -3.49 eV/atom